This record from Alexandria describes Cr3P4O14 after structural relaxation. The functional is PBE with a Hubbard U. Values from VASP.

```
&SYSTEM
  ibrav = 0, nat = 21, ntyp = 3
/
ATOMIC_SPECIES
Cr 52.00 Cr.upf
P 30.97 P.upf
O 16.00 O.upf
CELL_PARAMETERS angstrom
-3.750 4.054 -2.892
1.560 -1.754 -6.614
-6.443 -3.335 -1.971
ATOMIC_POSITIONS crystal
Cr 0.751 0.567 0.649
Cr 0.249 0.433 0.351
Cr 0.000 0.000 0.000
P 0.231 0.655 0.708
P 0.384 0.299 0.927
P 0.616 0.701 0.073
P 0.769 0.345 0.292
O 0.481 0.669 0.578
O 0.901 0.438 0.399
O 0.646 0.718 0.860
O 0.099 0.562 0.601
O 0.354 0.282 0.140
O 0.295 0.135 0.876
O 0.101 0.839 0.777
O 0.231 0.501 0.891
O 0.899 0.161 0.223
O 0.519 0.331 0.422
O 0.705 0.865 0.124
O 0.637 0.329 0.799
O 0.769 0.499 0.109
O 0.363 0.671 0.201
```

Properties
Spin magnetization (μB per formula unit): 10.000
Space-group type: P-1, No. 2
Energy above the most stable polymorph in this dataset (meV/atom): 73